# 1
The following is a PBE-GGA calculation of a relaxed structure of SbCl3F, from the Alexandria database.

As for the total energy: -2.784 eV/atom. Its magnetization is 0.73 μB/cell. For the uncorrected formation energy, the calculation gives -0.48 eV/atom. The value obtained for the excess energy over the best structure of this formula in the dataset is 0.487 eV/atom.

The structure belongs to space group Pm-3m (No. 221); the cell edges are 5.173, 5.173 and 5.173 Å and the angles 90.00°, 90.00° and 90.00°. Symmetry generates all atoms from Sb at (0.000, 0.000, 0.000), Cl at (0.000, 0.000, 0.500) and F at (0.500, 0.500, 0.500).



# 2
The following is a PBE-GGA calculation of a relaxed structure of Ti2CrMoSe, from the Alexandria database.

As for the total energy: -7.288 eV/atom. Its magnetization is 0.00 μB/cell. For the uncorrected formation energy, the calculation gives 0.66 eV/atom.

The structure belongs to space group P4/mmm (No. 123); the cell edges are 4.617, 4.617 and 4.247 Å and the angles 90.00°, 90.00° and 90.00°. Symmetry generates all atoms from Ti at (0.000, 0.500, 0.000), Cr at (0.000, 0.000, 0.500), Mo at (0.500, 0.500, 0.500) and Se at (0.000, 0.000, 0.000).



# 3
The following is a PBE-GGA calculation of a relaxed structure of UV2N, from the Alexandria database.

As for the total energy: -8.885 eV/atom. Its magnetization is 0.01 μB/cell. For the uncorrected formation energy, the calculation gives 0.58 eV/atom.

The structure belongs to space group P4/mmm (No. 123); the cell edges are 3.168, 3.168 and 5.222 Å and the angles 90.00°, 90.00° and 90.00°. Symmetry generates all atoms from U at (0.000, 0.000, 0.000), V at (0.500, 0.500, 0.268) and N at (0.000, 0.000, 0.500).